DFT (PBE-GGA) results for an optimized crystal structure of ScCuBiOs.

POSCAR file:
```
ScCuBiOs
1.0
0.0000 3.3137 3.3137
3.3137 0.0000 3.3137
3.3137 3.3137 0.0000
Sc Cu Bi Os
1 1 1 1
Cartesian
0.0000 0.0000 0.0000 Sc
4.9705 4.9705 4.9705 Cu
3.3137 3.3137 3.3137 Bi
1.6568 1.6568 1.6568 Os
```

Results
The calculation puts the calculated density at 11.586 g cm⁻³. As for the energy above the most stable polymorph in this dataset: 0 meV per atom.


DFT (PBE-GGA) results for an optimized crystal structure of DyTm2Ge4Au4.

POSCAR file:
```
DyTm2Ge4Au4
1.0
-2.1599 3.5324 7.2797
2.1599 -3.5324 7.2797
2.1599 3.5324 -7.2797
Dy Tm Ge Au
1 2 4 4
Cartesian
0.0000 0.0000 0.0000 Dy
2.1599 0.0000 5.4490 Tm
0.0000 3.5324 1.8307 Tm
0.0000 0.0000 3.1584 Ge
2.1599 2.2357 0.0000 Ge
0.0000 1.2966 7.2797 Ge
0.0000 0.0000 11.4009 Ge
2.1599 1.4326 -2.4305 Au
2.1599 1.4326 2.4305 Au
0.0000 2.0997 4.8491 Au
0.0000 2.0997 9.7102 Au
```

Results
The total energy comes out at -52.28 eV for the cell shown. The calculation puts the calculated density at 11.801 g cm⁻³.


DFT (PBE-GGA) results for an optimized crystal structure of Sm3Dy2Ho.

POSCAR file:
```
Sm3Dy2Ho
1.0
5.3770 -3.1049 0.0000
5.3770 3.1049 0.0000
0.0000 0.0000 11.5446
Sm Dy Ho
6 4 2
Cartesian
0.0000 0.0000 0.0000 Sm
0.0000 0.0000 5.7723 Sm
3.5869 0.0000 0.0000 Sm
3.5869 0.0000 5.7723 Sm
7.1670 0.0000 0.0000 Sm
7.1670 0.0000 5.7723 Sm
7.1703 -2.0691 2.8862 Dy
3.5837 2.0691 8.6585 Dy
7.1703 2.0691 8.6585 Dy
3.5837 -2.0691 2.8862 Dy
5.3770 1.0361 2.8862 Ho
5.3770 -1.0361 8.6585 Ho
```

Results
The energy of formation from the pure elements is -5 meV per atom. The calculation puts the calculated density at 8.107 g cm⁻³.


DFT (PBE-GGA) results for an optimized crystal structure of Ba2Pt3F.

POSCAR file:
```
Ba2Pt3F
1.0
2.7333 -4.7411 0.0000
2.7333 4.7411 0.0000
0.0000 0.0000 5.5942
Ba Pt F
2 3 1
Cartesian
2.7333 3.1627 0.0000 Ba
2.7333 -3.1627 0.0000 Ba
0.0000 0.0000 2.7971 Pt
1.3667 2.3706 2.7971 Pt
1.3667 -2.3706 2.7971 Pt
2.7333 0.0000 0.0000 F
```

Results
The total energy comes out at -28.22 eV for the cell shown. The calculation puts the calculated density at 10.066 g cm⁻³.